[1]
## TlPtN2O (PBE)

Data for an optimized crystal structure of TlPtN2O.

abc: 4.298 4.298 4.326
angles: 90.00 90.00 90.00
Space group P4/mmm (No. 123)
Asymmetric unit:
Tl: 0.000 0.000 0.000 [1 per cell]
Pt: 0.500 0.500 0.500 [1 per cell]
N: 0.000 0.500 0.000 [2 per cell]
O: 0.000 0.000 0.500 [1 per cell]



[2]
## Rb2SrSnS (PBE)

Data for an optimized crystal structure of Rb2SrSnS.

abc: 6.450 6.450 6.470
angles: 90.00 90.00 90.00
Space group P4/mmm (No. 123)
Asymmetric unit:
Rb: 0.000 0.500 0.000 [2 per cell]
Sr: 0.000 0.000 0.500 [1 per cell]
Sn: 0.000 0.000 0.000 [1 per cell]
S: 0.500 0.500 0.500 [1 per cell]



[3]
## La3Dy2ErSe6 (PBE)

Data for an optimized crystal structure of La3Dy2ErSe6.

abc: 7.167 12.455 7.374
angles: 90.00 108.99 90.00
Space group C2/m (No. 12)
Asymmetric unit:
La: 0.000 0.000 0.000 [2 per cell]
La: 0.000 0.332 0.000 [4 per cell]
Dy: 0.000 0.167 0.500 [4 per cell]
Er: 0.000 0.500 0.500 [2 per cell]
Se: 0.242 0.335 0.729 [8 per cell]
Se: 0.246 0.000 0.730 [4 per cell]



[4]
## La2SiAu3 (PBE)

Data for an optimized crystal structure of La2SiAu3.

abc: 7.811 9.213 16.016
angles: 90.00 90.00 90.00
Space group Fmmm (No. 69)
Asymmetric unit:
La: 0.237 0.000 0.000 [8 per cell]
La: 0.250 0.250 0.250 [8 per cell]
Si: 0.000 0.000 0.335 [8 per cell]
Au: 0.000 0.000 0.176 [8 per cell]
Au: 0.000 0.236 0.413 [16 per cell]



[5]
## LaSeI2O (PBE)

Data for an optimized crystal structure of LaSeI2O.

abc: 6.593 6.593 4.298
angles: 90.00 90.00 90.00
Space group P4/mmm (No. 123)
Asymmetric unit:
La: 0.000 0.000 0.000 [1 per cell]
Se: 0.500 0.500 0.500 [1 per cell]
I: 0.000 0.500 0.000 [2 per cell]
O: 0.000 0.000 0.500 [1 per cell]



[6]
## La2Tb3CeY6 (PBE)

Data for an optimized crystal structure of La2Tb3CeY6.

Output
ΔH_f (0 K): 39 meV per atom

abc: 6.241 10.812 11.869
angles: 90.00 100.09 90.00
Space group C2/m (No. 12)
Asymmetric unit:
La: 0.000 0.166 0.000 [4 per cell]
Tb: 0.000 0.000 0.500 [2 per cell]
Tb: 0.000 0.333 0.500 [4 per cell]
Ce: 0.000 0.500 0.000 [2 per cell]
Y: 0.247 0.500 0.747 [4 per cell]
Y: 0.249 0.335 0.253 [8 per cell]



[7]
## TbYB4 (PBE)

Data for an optimized crystal structure of TbYB4.

Output
ΔH_f (0 K): -391 meV per atom

abc: 3.591 3.591 11.561
angles: 90.00 90.00 90.00
Space group I-4m2 (No. 119)
Asymmetric unit:
Tb: 0.000 0.000 0.000 [2 per cell]
Y: 0.000 0.500 0.750 [2 per cell]
B: 0.000 0.000 0.422 [4 per cell]
B: 0.000 0.500 0.172 [4 per cell]



[8]
## SiRu2AuSe (PBE)

Data for an optimized crystal structure of SiRu2AuSe.

abc: 4.547 4.547 4.902
angles: 90.00 90.00 90.00
Space group P4/mmm (No. 123)
Asymmetric unit:
Si: 0.000 0.000 0.000 [1 per cell]
Ru: 0.000 0.500 0.500 [2 per cell]
Au: 0.500 0.500 0.000 [1 per cell]
Se: 0.500 0.500 0.500 [1 per cell]



[9]
## TmMgZrSn (PBE)

Data for an optimized crystal structure of TmMgZrSn.

Output
ΔH_f (0 K): -220 meV per atom

abc: 7.215 7.215 7.215
angles: 90.00 90.00 90.00
Space group F-43m (No. 216)
Asymmetric unit:
Tm: 0.000 0.000 0.000 [4 per cell]
Mg: 0.250 0.250 0.750 [4 per cell]
Zr: 0.000 0.000 0.500 [4 per cell]
Sn: 0.250 0.250 0.250 [4 per cell]



[10]
## RbNa2DyI6 (PBE)

Data for an optimized crystal structure of RbNa2DyI6.

abc: 8.231 8.238 8.932
angles: 90.03 117.43 119.97
Space group P1 (No. 1)
Asymmetric unit:
Rb: 0.000 0.000 0.000 [1 per cell]
Na: 0.586 0.293 0.878 [1 per cell]
Na: 0.617 0.809 0.424 [1 per cell]
Dy: 0.963 0.482 0.445 [1 per cell]
I: 0.105 0.239 0.661 [1 per cell]
I: 0.106 0.452 0.190 [1 per cell]
I: 0.422 0.866 0.660 [1 per cell]
I: 0.537 0.085 0.190 [1 per cell]
I: 0.738 0.654 0.190 [1 per cell]
I: 0.794 0.556 0.660 [1 per cell]



[11]
## BiSN2 (PBE)

Data for an optimized crystal structure of BiSN2.

abc: 3.927 3.955 8.453
angles: 90.73 96.61 90.06
Space group P1 (No. 1)
Asymmetric unit:
Bi: 0.000 0.000 0.000 [1 per cell]
S: 0.501 0.500 0.001 [1 per cell]
N: 0.249 0.524 0.530 [1 per cell]
N: 0.401 0.701 0.464 [1 per cell]



[12]
## BaLaOF2 (PBE)

Data for an optimized crystal structure of BaLaOF2.

abc: 4.927 4.927 4.570
angles: 90.00 90.00 90.00
Space group P4/mmm (No. 123)
Asymmetric unit:
Ba: 0.000 0.000 0.000 [1 per cell]
La: 0.500 0.500 0.500 [1 per cell]
O: 0.500 0.500 0.000 [1 per cell]
F: 0.000 0.500 0.500 [2 per cell]



| no. | calculated density (g/cm3) | DFT total energy (eV/cell) |
| --- | --- | --- |
| 1 | 9.22 | -18.75 |
| 2 | 2.52 | -11.41 |
| 3 | 7.38 | -143.92 |
| 4 | 10.34 | -240.19 |
| 5 | 4.33 | -21.19 |
| 6 | 6.02 | -136.00 |
| 7 | 6.49 | -80.30 |
| 8 | 8.29 | -25.03 |
| 9 | 7.13 | -77.98 |
| 10 | 3.94 | -31.00 |
| 11 | 3.43 | -24.37 |
| 12 | 4.94 | -30.68 |